Entry 1:
First-principles (meta-GGA SCAN) data for a PBEsol-optimized structure of Si2C, as listed in the Alexandria database.

Results
Polymorph energy (0 for the lowest one) (eV/atom): 0.2666
Energy relative to the elements, uncorrected (eV/atom): 0.712
VASP energy (eV/atom): -9.332

Unit cell a=2.9005 b=2.9005 c=4.6898 alpha=71.99 beta=71.99 gamma=60.00
Element x y z (fractional)
C: 0.0000 0.0000 0.0000
Si: 0.2437 0.2437 0.2689
Si: 0.7563 0.7563 0.7311



Entry 2:
First-principles (meta-GGA SCAN) data for a PBEsol-optimized structure of SiC8, as listed in the Alexandria database.

Results
Energy relative to the elements, uncorrected (eV/atom): 1.848
VASP energy (eV/atom): -8.243

Unit cell a=4.7749 b=4.7749 c=4.7749 alpha=106.09 beta=111.19 gamma=111.19
Element x y z (fractional)
C: 0.3641 0.0000 0.3641
Si: 0.0000 0.0000 0.0000
C: 0.3641 0.3641 0.0000
C: 0.0000 0.7554 0.2446
C: 0.5107 0.7554 0.7554
C: 0.6359 0.0000 0.6359
C: 0.0000 0.2446 0.7554
C: 0.4893 0.2446 0.2446
C: 0.6359 0.6359 0.0000



Entry 3:
First-principles (meta-GGA SCAN) data for a PBEsol-optimized structure of SiC2, as listed in the Alexandria database.

Results
Polymorph energy (0 for the lowest one) (eV/atom): 0.2515
Energy relative to the elements, uncorrected (eV/atom): 0.639
VASP energy (eV/atom): -9.432

Unit cell a=2.7577 b=4.3677 c=4.8716 alpha=91.05 beta=90.00 gamma=108.40
Element x y z (fractional)
Si: 0.7148 0.4295 0.1057
Si: 0.0183 0.0367 0.6045
C: 0.5318 0.0636 0.3175
C: 0.3527 0.7054 0.3325
C: 0.2053 0.4105 0.8229
C: 0.3438 0.6876 0.6503



Entry 4:
First-principles (meta-GGA SCAN) data for a PBEsol-optimized structure of SiC, as listed in the Alexandria database.

Results
Polymorph energy (0 for the lowest one) (eV/atom): 0.0040
Energy relative to the elements, uncorrected (eV/atom): -0.293
VASP energy (eV/atom): -10.351

Unit cell a=3.0775 b=3.0775 c=5.0508 alpha=90.00 beta=90.00 gamma=120.00
Element x y z (fractional)
C: 0.3333 0.6667 0.8754
C: 0.6667 0.3333 0.3754
Si: 0.3333 0.6667 0.4996
Si: 0.6667 0.3333 0.9996



Entry 5:
First-principles (meta-GGA SCAN) data for a PBEsol-optimized structure of Si3C4, as listed in the Alexandria database.

Results
Polymorph energy (0 for the lowest one) (eV/atom): 0.3109
Energy relative to the elements, uncorrected (eV/atom): 0.993
VASP energy (eV/atom): -9.071

Unit cell a=3.9491 b=3.9491 c=3.9491 alpha=90.00 beta=90.00 gamma=90.00
Element x y z (fractional)
Si: 0.5000 0.0000 0.0000
C: 0.0000 0.5000 0.5000
C: 0.5000 0.0000 0.5000
C: 0.5000 0.5000 0.0000
C: 0.0000 0.0000 0.0000
Si: 0.0000 0.0000 0.5000
Si: 0.0000 0.5000 0.0000



Entry 6:
First-principles (meta-GGA SCAN) data for a PBEsol-optimized structure of SiC2, as listed in the Alexandria database.

Results
Polymorph energy (0 for the lowest one) (eV/atom): 2.1365
Energy relative to the elements, uncorrected (eV/atom): 2.524
VASP energy (eV/atom): -7.547

Unit cell a=3.6783 b=4.0137 c=4.0137 alpha=120.00 beta=90.00 gamma=90.00
Element x y z (fractional)
Si: 0.7500 0.3333 0.6667
C: 0.7500 0.6667 0.3333
C: 0.2500 0.3333 0.6667
Si: 0.2500 0.6667 0.3333
C: 0.5000 0.0000 0.0000
C: 0.0000 0.0000 0.0000



Entry 7:
First-principles (meta-GGA SCAN) data for a PBEsol-optimized structure of Si2C, as listed in the Alexandria database.

Results
Polymorph energy (0 for the lowest one) (eV/atom): 0.0000
Energy relative to the elements, uncorrected (eV/atom): 0.445
VASP energy (eV/atom): -9.598

Unit cell a=2.9551 b=2.9551 c=14.8201 alpha=90.00 beta=90.00 gamma=120.00
Element x y z (fractional)
C: 0.0000 0.0000 0.5000
C: 0.3333 0.6667 0.8739
Si: 0.6667 0.3333 0.4213
Si: 0.6667 0.3333 0.2546
C: 0.6667 0.3333 0.1261
Si: 0.3333 0.6667 0.7454
Si: 0.3333 0.6667 0.5787
Si: 0.0000 0.0000 0.9189
Si: 0.0000 0.0000 0.0811



Entry 8:
First-principles (meta-GGA SCAN) data for a PBEsol-optimized structure of Si2C, as listed in the Alexandria database.

Results
Polymorph energy (0 for the lowest one) (eV/atom): 1.2001
Energy relative to the elements, uncorrected (eV/atom): 1.646
VASP energy (eV/atom): -8.398

Unit cell a=4.1809 b=4.1809 c=4.3625 alpha=90.00 beta=90.00 gamma=120.00
Element x y z (fractional)
Si: 0.0000 0.0000 0.5000
Si: 0.6667 0.3333 0.2500
Si: 0.0000 0.0000 0.0000
Si: 0.3333 0.6667 0.7500
C: 0.6667 0.3333 0.7500
C: 0.3333 0.6667 0.2500



Entry 9:
First-principles (meta-GGA SCAN) data for a PBEsol-optimized structure of SiC2, as listed in the Alexandria database.

Results
Polymorph energy (0 for the lowest one) (eV/atom): 1.4593
Energy relative to the elements, uncorrected (eV/atom): 1.847
VASP energy (eV/atom): -8.225

Unit cell a=2.9223 b=4.5182 c=4.5182 alpha=90.00 beta=90.00 gamma=90.00
Element x y z (fractional)
C: 0.0000 0.2073 0.2073
C: 0.0000 0.7927 0.7927
Si: 0.0000 0.5000 0.5000
C: 0.5000 0.2927 0.7073
Si: 0.5000 0.0000 0.0000
C: 0.5000 0.7073 0.2927



Entry 10:
First-principles (meta-GGA SCAN) data for a PBEsol-optimized structure of Si2C, as listed in the Alexandria database.

Results
Polymorph energy (0 for the lowest one) (eV/atom): 0.8895
Energy relative to the elements, uncorrected (eV/atom): 1.335
VASP energy (eV/atom): -8.709

Unit cell a=2.6842 b=2.6842 c=4.7330 alpha=106.47 beta=106.47 gamma=90.00
Element x y z (fractional)
C: 0.5000 0.5000 0.0000
Si: 0.8652 0.8652 0.7304
Si: 0.1348 0.1348 0.2696



Entry 11:
First-principles (meta-GGA SCAN) data for a PBEsol-optimized structure of Si2C3, as listed in the Alexandria database.

Results
Energy relative to the elements, uncorrected (eV/atom): 0.820
VASP energy (eV/atom): -9.246

Unit cell a=5.2034 b=5.2034 c=5.8080 alpha=104.55 beta=104.55 gamma=116.05
Element x y z (fractional)
Si: 0.8679 0.8182 0.3527
C: 0.4892 0.8041 0.9178
C: 0.8863 0.5714 0.0822
Si: 0.4655 0.5152 0.6473
Si: 0.0682 0.6179 0.8527
C: 0.0541 0.2392 0.4178
C: 0.5411 0.5411 0.0000
C: 0.7911 0.2911 0.5000
C: 0.8214 0.6363 0.5822
Si: 0.7652 0.2155 0.1473



Entry 12:
First-principles (meta-GGA SCAN) data for a PBEsol-optimized structure of SiC, as listed in the Alexandria database.

Results
Polymorph energy (0 for the lowest one) (eV/atom): 0.0004
Energy relative to the elements, uncorrected (eV/atom): -0.296
VASP energy (eV/atom): -10.354

Unit cell a=3.0801 b=3.0801 c=12.6010 alpha=90.00 beta=90.00 gamma=120.00
Element x y z (fractional)
C: 0.0000 0.0000 0.2499
Si: 0.3333 0.6667 0.6004
C: 0.3333 0.6667 0.4504
C: 0.0000 0.0000 0.8499
Si: 0.0000 0.0000 0.4003
C: 0.6667 0.3333 0.6501
C: 0.3333 0.6667 0.0496
Si: 0.3333 0.6667 0.1999
Si: 0.6667 0.3333 0.8001
Si: 0.0000 0.0000 0.9998



Entry 13:
First-principles (meta-GGA SCAN) data for a PBEsol-optimized structure of Si3C4, as listed in the Alexandria database.

Results
Polymorph energy (0 for the lowest one) (eV/atom): 0.0000
Energy relative to the elements, uncorrected (eV/atom): 0.682
VASP energy (eV/atom): -9.382

Unit cell a=4.3913 b=4.3913 c=4.3913 alpha=90.00 beta=90.00 gamma=90.00
Element x y z (fractional)
Si: 0.5000 0.5000 0.0000
C: 0.2718 0.2718 0.7282
C: 0.2718 0.7282 0.2718
Si: 0.5000 0.0000 0.5000
Si: 0.0000 0.5000 0.5000
C: 0.7282 0.7282 0.7282
C: 0.7282 0.2718 0.2718



Entry 14:
First-principles (meta-GGA SCAN) data for a PBEsol-optimized structure of Si2C, as listed in the Alexandria database.

Results
Polymorph energy (0 for the lowest one) (eV/atom): 0.3600
Energy relative to the elements, uncorrected (eV/atom): 0.805
VASP energy (eV/atom): -9.238

Unit cell a=2.8742 b=2.8742 c=9.5279 alpha=90.00 beta=90.00 gamma=120.00
Element x y z (fractional)
Si: 0.3333 0.6667 0.3766
Si: 0.6667 0.3333 0.6234
C: 0.0000 0.0000 0.5000
C: 0.0000 0.0000 0.0000
Si: 0.6667 0.3333 0.8766
Si: 0.3333 0.6667 0.1234



Entry 15:
First-principles (meta-GGA SCAN) data for a PBEsol-optimized structure of Si2C, as listed in the Alexandria database.

Results
Polymorph energy (0 for the lowest one) (eV/atom): 0.2043
Energy relative to the elements, uncorrected (eV/atom): 0.650
VASP energy (eV/atom): -9.394

Unit cell a=2.8946 b=4.7104 c=5.0098 alpha=90.00 beta=106.79 gamma=90.00
Element x y z (fractional)
C: 0.1765 0.2500 0.3530
Si: 0.1886 0.7500 0.3773
Si: 0.5329 0.2500 0.0659
Si: 0.4671 0.7500 0.9342
C: 0.8235 0.7500 0.6470
Si: 0.8114 0.2500 0.6227



Entry 16:
First-principles (meta-GGA SCAN) data for a PBEsol-optimized structure of SiC5, as listed in the Alexandria database.

Results
Energy relative to the elements, uncorrected (eV/atom): 1.142
VASP energy (eV/atom): -8.944

Unit cell a=2.5394 b=3.8629 c=5.9769 alpha=108.85 beta=90.00 gamma=90.00
Element x y z (fractional)
C: 0.5000 0.6207 0.2413
C: 0.0000 0.5621 0.1241
C: 0.5000 0.3593 0.7185
C: 0.0000 0.4310 0.8620
Si: 0.5000 0.7853 0.5706
C: 0.0000 0.9083 0.8167



Entry 17:
First-principles (meta-GGA SCAN) data for a PBEsol-optimized structure of Si2SnC, as listed in the Alexandria database.

Results
Energy relative to the elements, uncorrected (eV/atom): 1.855
VASP energy (eV/atom): -14.658

Unit cell a=4.4511 b=4.4511 c=4.4511 alpha=60.00 beta=60.00 gamma=60.00
Element x y z (fractional)
Si: 0.7500 0.7500 0.7500
Si: 0.2500 0.2500 0.2500
Sn: 0.5000 0.5000 0.5000
C: 0.0000 0.0000 0.0000



Entry 18:
First-principles (meta-GGA SCAN) data for a PBEsol-optimized structure of Si3SnC, as listed in the Alexandria database.

Results
Energy relative to the elements, uncorrected (eV/atom): 1.043
VASP energy (eV/atom): -14.171

Unit cell a=4.1991 b=4.1991 c=4.1991 alpha=90.00 beta=90.00 gamma=90.00
Element x y z (fractional)
C: 0.0000 0.0000 0.0000
Si: 0.5000 0.0000 0.0000
Si: 0.0000 0.0000 0.5000
Sn: 0.5000 0.5000 0.5000
Si: 0.0000 0.5000 0.0000



Entry 19:
First-principles (meta-GGA SCAN) data for a PBEsol-optimized structure of SrSi3C, as listed in the Alexandria database.

Results
Energy relative to the elements, uncorrected (eV/atom): 0.910
VASP energy (eV/atom): -11.575

Unit cell a=4.3562 b=4.3562 c=4.3562 alpha=90.00 beta=90.00 gamma=90.00
Element x y z (fractional)
C: 0.0000 0.0000 0.0000
Sr: 0.5000 0.5000 0.5000
Si: 0.0000 0.0000 0.5000
Si: 0.0000 0.5000 0.0000
Si: 0.5000 0.0000 0.0000



Entry 20:
First-principles (meta-GGA SCAN) data for a PBEsol-optimized structure of Ta3SiC, as listed in the Alexandria database.

Results
Energy relative to the elements, uncorrected (eV/atom): 0.075
VASP energy (eV/atom): -43.899

Unit cell a=4.2163 b=4.2163 c=4.2163 alpha=90.00 beta=90.00 gamma=90.00
Element x y z (fractional)
Ta: 0.0000 0.0000 0.5000
Ta: 0.0000 0.5000 0.0000
C: 0.0000 0.0000 0.0000
Si: 0.5000 0.5000 0.5000
Ta: 0.5000 0.0000 0.0000